# 1
DFT (PBE-GGA) results for a geometry-optimized Li5Cd2Pd structure.

a = 7.0217 Å, b = 7.0217 Å, c = 7.0217 Å
α = 141.51°, β = 141.51°, γ = 55.57°
With the nearest neighbours (Å) after each atom.
Element x y z (fractional)
1 Li 0.0000 0.0000 0.0000  8 Li 2.73
2 Li 0.1160 0.6160 0.5000  3 Li 2.73-2.88, 2 Pd 2.73, 4 Cd 2.78-2.92
3 Li 0.3840 0.8840 0.5000  2 Pd 2.73, 3 Li 2.73-2.88, 4 Cd 2.78-2.92
4 Li 0.6160 0.1160 0.5000  3 Li 2.73-2.88, 2 Pd 2.73, 4 Cd 2.78-2.92
5 Li 0.8840 0.3840 0.5000  2 Pd 2.73, 3 Li 2.73-2.88, 4 Cd 2.78-2.92
6 Cd 0.2595 0.2595 0.0000  8 Li 2.78-2.92, 1 Pd 2.99
7 Cd 0.7405 0.7405 0.0000  8 Li 2.78-2.92, 1 Pd 2.99
8 Pd 0.5000 0.5000 0.0000  8 Li 2.73, 2 Cd 2.99

Magnetic moment, μB/cell: 0.0
Space group: I4/mmm
Calculated formation energy, eV per atom: -0.27
Final energy, eV for the cell shown: -18.8
V, Å³ per atom: 16.64

# 2
DFT (PBE-GGA) results for a geometry-optimized Li5Cd2Pd4 structure.

a = 7.3424 Å, b = 2.9049 Å, c = 8.6764 Å
α = 90.00°, β = 107.42°, γ = 90.00°
With the nearest neighbours (Å) after each atom.
Element x y z (fractional)
1 Li 0.0000 0.0000 0.0000  6 Li 2.82-2.90, 8 Pd 3.06-3.12
2 Li 0.0030 0.0000 0.3261  4 Pd 2.57-2.58, 1 Li 2.82
3 Li 0.4048 0.0000 0.1010  2 Li 2.55-2.84, 6 Pd 2.57-2.72, 1 Cd 2.73
4 Li 0.5952 0.0000 0.8990  2 Li 2.55-2.84, 6 Pd 2.57-2.72, 1 Cd 2.73
5 Li 0.9970 0.0000 0.6739  4 Pd 2.57-2.58, 1 Li 2.82
6 Cd 0.3506 0.0000 0.5920  3 Li 2.73-2.89, 6 Pd 2.86-2.97, 2 Cd 2.90
7 Cd 0.6494 0.0000 0.4080  3 Li 2.73-2.89, 6 Pd 2.86-2.97, 2 Cd 2.90
8 Pd 0.2697 0.5000 0.8476  6 Li 2.57-2.72, 2 Cd 2.86
9 Pd 0.2798 0.5000 0.2943  4 Li 2.58-2.59, 2 Cd 2.87
10 Pd 0.7202 0.5000 0.7057  4 Li 2.58-2.59, 2 Cd 2.87
11 Pd 0.7303 0.5000 0.1524  6 Li 2.57-2.72, 2 Cd 2.86

Magnetic moment, μB/cell: 0.0
Space group: P2/m
Calculated formation energy, eV per atom: -0.35
Final energy, eV for the cell shown: -36.1
V, Å³ per atom: 16.05

# 3
DFT (PBE-GGA) results for a geometry-optimized Li7CdPd12 structure.

a = 6.8661 Å, b = 6.8661 Å, c = 6.8661 Å
α = 89.46°, β = 89.46°, γ = 89.46°
With the nearest neighbours (Å) after each atom.
Element x y z (fractional)
1 Li 0.0000 0.0000 0.0000  6 Pd 2.41
2 Li 0.0980 0.3357 0.4780  6 Pd 2.60-2.90, 1 Li 2.63
3 Li 0.3357 0.4780 0.0980  6 Pd 2.60-2.90, 1 Li 2.63
4 Li 0.4780 0.0980 0.3357  6 Pd 2.60-2.90, 1 Li 2.63
5 Li 0.5220 0.9020 0.6643  6 Pd 2.60-2.90, 1 Li 2.63
6 Li 0.6643 0.5220 0.9020  6 Pd 2.60-2.90, 1 Li 2.63
7 Li 0.9020 0.6643 0.5220  6 Pd 2.60-2.90, 1 Li 2.63
8 Cd 0.5000 0.5000 0.5000  6 Pd 2.72, 6 Li 3.00
9 Pd 0.0034 0.6632 0.1029  2 Li 2.41-2.60, 3 Pd 2.66-2.70
10 Pd 0.1029 0.0034 0.6632  2 Li 2.41-2.60, 3 Pd 2.66-2.70
11 Pd 0.2158 0.6277 0.7483  6 Pd 2.67-2.84, 4 Li 2.68-2.89, 1 Cd 2.72
12 Pd 0.2517 0.7842 0.3723  6 Pd 2.67-2.84, 4 Li 2.68-2.89, 1 Cd 2.72
13 Pd 0.3368 0.8971 0.9966  2 Li 2.41-2.60, 3 Pd 2.66-2.70
14 Pd 0.3723 0.2517 0.7842  6 Pd 2.67-2.84, 4 Li 2.68-2.89, 1 Cd 2.72
15 Pd 0.6277 0.7483 0.2158  6 Pd 2.67-2.84, 4 Li 2.68-2.89, 1 Cd 2.72
16 Pd 0.6632 0.1029 0.0034  2 Li 2.41-2.60, 3 Pd 2.66-2.70
17 Pd 0.7483 0.2158 0.6277  6 Pd 2.67-2.84, 4 Li 2.68-2.89, 1 Cd 2.72
18 Pd 0.7842 0.3723 0.2517  6 Pd 2.67-2.84, 4 Li 2.68-2.89, 1 Cd 2.72
19 Pd 0.8971 0.9966 0.3368  2 Li 2.41-2.60, 3 Pd 2.66-2.70
20 Pd 0.9966 0.3368 0.8971  2 Li 2.41-2.60, 3 Pd 2.66-2.70

Magnetic moment, μB/cell: 0.0
Space group: R-3
Calculated formation energy, eV per atom: -0.25
Final energy, eV for the cell shown: -81.6
V, Å³ per atom: 16.18

Q: What is the calculated formation energy in the third record?
A: -0.25 eV per atom

Q: The highest final energy belongs to which entry?
A: Li5Cd2Pd